No. 1
# MgSe (GGA-PBEsol, optimized geometry)
data_MgSe
_chemical_formula_sum 'Mg2 Se2'
_space_group_name_H-M_alt 'P 63 m c'
_space_group_IT_number 186
_space_group_name_Hall 'P 6c -2c'
_cell_length_a 4.2264
_cell_length_b 4.2264
_cell_length_c 6.7772
_cell_angle_alpha 90.00
_cell_angle_beta 90.00
_cell_angle_gamma 120.00
loop_
_atom_site_label
_atom_site_type_symbol
_atom_site_fract_x
_atom_site_fract_y
_atom_site_fract_z
Mg1 Mg 0.3333 0.6667 0.0000
Se1 Se 0.3333 0.6667 0.6194
# Energy relative to the elements, uncorrected: -28.07 kcal/mol of atoms

---

No. 2
# Ti2Te2O5F5 (GGA-PBEsol, optimized geometry)
data_Ti2Te2O5F5
_chemical_formula_sum 'Ti8 Te8 O20 F20'
_space_group_name_H-M_alt 'P n m a'
_space_group_IT_number 62
_space_group_name_Hall '-P 2ac 2n'
_cell_length_a 7.540
_cell_length_b 16.416
_cell_length_c 6.546
_cell_angle_alpha 90.00
_cell_angle_beta 90.00
_cell_angle_gamma 90.00
loop_
_atom_site_label
_atom_site_type_symbol
_atom_site_fract_x
_atom_site_fract_y
_atom_site_fract_z
Ti1 Ti 0.116 0.130 0.247
Te1 Te 0.136 0.634 0.230
O1 O 0.056 0.138 0.960
O2 O 0.145 0.750 0.281
O3 O 0.175 0.131 0.535
F1 F 0.114 0.016 0.229
F2 F 0.118 0.250 0.255
F3 F 0.133 0.632 0.675
# Energy relative to the elements, uncorrected: -53.89 kcal/mol of atoms

---

No. 3
# LaScTi2 (GGA-PBEsol, optimized geometry)
data_LaScTi2
_chemical_formula_sum 'La4 Sc4 Ti8'
_space_group_name_H-M_alt 'F m -3 m'
_space_group_IT_number 225
_space_group_name_Hall '-F 4 2 3'
_cell_length_a 7.001
_cell_length_b 7.001
_cell_length_c 7.001
_cell_angle_alpha 90.00
_cell_angle_beta 90.00
_cell_angle_gamma 90.00
loop_
_atom_site_label
_atom_site_type_symbol
_atom_site_fract_x
_atom_site_fract_y
_atom_site_fract_z
La1 La 0.000 0.000 0.000
Sc1 Sc 0.000 0.000 0.500
Ti1 Ti 0.250 0.250 0.250
# Energy of formation from the pure elements: 343 meV/atom

---

No. 4
# Ba2ReSi (GGA-PBEsol, optimized geometry)
data_Ba2ReSi
_chemical_formula_sum 'Ba4 Re2 Si2'
_space_group_name_H-M_alt 'I m m 2'
_space_group_IT_number 44
_space_group_name_Hall 'I 2 -2'
_cell_length_a 3.942
_cell_length_b 5.287
_cell_length_c 10.847
_cell_angle_alpha 90.00
_cell_angle_beta 90.00
_cell_angle_gamma 90.00
loop_
_atom_site_label
_atom_site_type_symbol
_atom_site_fract_x
_atom_site_fract_y
_atom_site_fract_z
Ba1 Ba 0.000 0.000 0.000
Ba2 Ba 0.000 0.500 0.202
Re1 Re 0.000 0.500 0.796
Si1 Si 0.000 0.000 0.412
# Energy relative to the elements, uncorrected: 7.12 kcal/mol of atoms